Material: CsBPd
Method: DFT, PBE
State: relaxed

Values from the calculation:
crystal system: monoclinic
spin magnetization: 0.0 μB/f.u.
formation energy from the elements: 0.056 eV per atom

Cell: 8.538 4.243 11.271 Å, 90.00 91.20 90.00°
Space group C2/m (No. 12)
Asymmetric unit:
Cs 0.136 0.000 0.267 x4
B 0.098 0.500 0.993 x4
Pd 0.159 0.000 0.972 x4